Entry 1:
Material: KTlTe2
Method: DFT, PBE
State: optimized geometry

Properties
- uncorrected formation energy (meV per atom) = -195
- theoretical density (g cm⁻³) = 5.8
- final energy (eV/atom) = -2.63

The structure in CIF format:
```
data_KTlTe2
_chemical_formula_sum 'K1 Tl1 Te2'
_cell_length_a 3.6090
_cell_length_b 3.6090
_cell_length_c 10.8851
_cell_angle_alpha 90.00
_cell_angle_beta 90.00
_cell_angle_gamma 90.00
_symmetry_space_group_name_H-M 'P 1'
_symmetry_Int_Tables_number 1
loop_
_symmetry_equiv_pos_as_xyz
'x,y,z'
loop_
_atom_site_label
_atom_site_fract_x
_atom_site_fract_y
_atom_site_fract_z
_atom_site_occupancy
K1 0.5000 0.5000 0.7488 1
Te1 0.5000 0.5000 0.3027 1
Te2 0.0000 0.0000 0.9679 1
Tl1 0.0000 0.0000 0.4805 1
```



Entry 2:
Material: K2TlTe2
Method: DFT, PBE
State: optimized geometry

Properties
- uncorrected formation energy (meV per atom) = -618
- theoretical density (g cm⁻³) = 4.8
- energy above the most stable polymorph in this dataset (meV per atom) = 78
- final energy (eV/atom) = -2.79

The structure in CIF format:
```
data_K2TlTe2
_chemical_formula_sum 'K4 Tl2 Te4'
_cell_length_a 10.1785
_cell_length_b 10.1785
_cell_length_c 3.5702
_cell_angle_alpha 90.00
_cell_angle_beta 90.00
_cell_angle_gamma 90.00
_symmetry_space_group_name_H-M 'P 1'
_symmetry_Int_Tables_number 1
loop_
_symmetry_equiv_pos_as_xyz
'x,y,z'
loop_
_atom_site_label
_atom_site_fract_x
_atom_site_fract_y
_atom_site_fract_z
_atom_site_occupancy
Te1 0.1710 0.3290 0.0000 1
K1 0.6269 0.8731 0.5000 1
Tl1 0.0000 0.0000 0.0000 1
Te2 0.3290 0.8290 0.0000 1
K2 0.1269 0.6269 0.5000 1
K3 0.8731 0.3731 0.5000 1
Te3 0.6710 0.1710 0.0000 1
K4 0.3731 0.1269 0.5000 1
Tl2 0.5000 0.5000 0.0000 1
Te4 0.8290 0.6710 0.0000 1
```



Entry 3:
Material: KTlTe3
Method: DFT, PBE
State: optimized geometry

Properties
- uncorrected formation energy (meV per atom) = -8
- theoretical density (g cm⁻³) = 5.0
- energy above the most stable polymorph in this dataset (meV per atom) = 381
- final energy (eV/atom) = -2.59

The structure in CIF format:
```
data_KTlTe3
_chemical_formula_sum 'K1 Tl1 Te3'
_cell_length_a 5.9164
_cell_length_b 5.9164
_cell_length_c 5.9164
_cell_angle_alpha 90.00
_cell_angle_beta 90.00
_cell_angle_gamma 90.00
_symmetry_space_group_name_H-M 'P 1'
_symmetry_Int_Tables_number 1
loop_
_symmetry_equiv_pos_as_xyz
'x,y,z'
loop_
_atom_site_label
_atom_site_fract_x
_atom_site_fract_y
_atom_site_fract_z
_atom_site_occupancy
Tl1 0.0000 0.0000 0.0000 1
K1 0.5000 0.5000 0.5000 1
Te1 0.0000 0.5000 0.0000 1
Te2 0.5000 0.0000 0.0000 1
Te3 0.0000 0.0000 0.5000 1
```



Entry 4:
Material: K2Tl2Te
Method: DFT, PBE
State: optimized geometry

Properties
- uncorrected formation energy (meV per atom) = -153
- theoretical density (g cm⁻³) = 5.0
- energy above the most stable polymorph in this dataset (meV per atom) = 159
- final energy (eV/atom) = -2.17

The structure in CIF format:
```
data_K2Tl2Te
_chemical_formula_sum 'K4 Tl4 Te2'
_cell_length_a 8.6154
_cell_length_b 8.6154
_cell_length_c 5.5234
_cell_angle_alpha 90.00
_cell_angle_beta 90.00
_cell_angle_gamma 90.00
_symmetry_space_group_name_H-M 'P 1'
_symmetry_Int_Tables_number 1
loop_
_symmetry_equiv_pos_as_xyz
'x,y,z'
loop_
_atom_site_label
_atom_site_fract_x
_atom_site_fract_y
_atom_site_fract_z
_atom_site_occupancy
Te1 0.0000 0.0000 0.0000 1
Te2 0.5000 0.5000 0.0000 1
K1 0.1455 0.3545 0.0000 1
Tl1 0.6660 0.8340 0.5000 1
Tl2 0.1660 0.6660 0.5000 1
Tl3 0.8340 0.3340 0.5000 1
K2 0.6455 0.1455 0.0000 1
K3 0.8545 0.6455 0.0000 1
K4 0.3545 0.8545 0.0000 1
Tl4 0.3340 0.1660 0.5000 1
```